First-principles (PBE+U) data for a geometry-optimized NiBi2IrO8 structure, as listed in the Alexandria database.

Unit cell a=4.814 b=4.805 c=6.760 alpha=89.99 beta=90.00 gamma=90.38
Positions (direct):
O1 0.171 0.814 0.234
O2 0.296 0.275 0.000
Bi1 0.500 0.500 0.255
Ir1 0.000 0.000 0.000
Bi2 0.500 0.500 0.745
O3 0.300 0.290 0.500
O4 0.171 0.815 0.766
O5 0.829 0.186 0.766
O6 0.700 0.710 0.500
O7 0.704 0.725 0.000
Ni1 0.000 0.000 0.500
O8 0.829 0.185 0.234

Values from the calculation:
Total DFT energy (no corrections) (eV per atom): -5.738


First-principles (PBE+U) data for a geometry-optimized NiBiIrO6 structure, as listed in the Alexandria database.

Unit cell a=4.768 b=4.768 c=9.716 alpha=90.00 beta=90.00 gamma=90.00
Positions (direct):
O1 0.195 0.805 0.483
Ir1 0.000 0.000 0.335
Bi1 0.000 0.000 0.668
O2 0.177 0.823 0.173
O3 0.713 0.713 0.343
O4 0.287 0.287 0.343
Ni1 0.000 0.000 0.000
O5 0.787 0.213 0.843
O6 0.805 0.195 0.483
O7 0.305 0.305 0.983
O8 0.213 0.787 0.843
O9 0.677 0.677 0.673
O10 0.695 0.695 0.983
O11 0.323 0.323 0.673
Ir2 0.500 0.500 0.835
Ni2 0.500 0.500 0.500
Bi2 0.500 0.500 0.168
O12 0.823 0.177 0.173

Values from the calculation:
Total DFT energy (no corrections) (eV per atom): -5.858